# KPbSeBr2 (PBE, optimized geometry)
data_KPbSeBr2
_space_group_name_H-M_alt 'P 4/m m m'
_space_group_IT_number 123
_space_group_name_Hall '-P 4 2'
_cell_length_a 5.732
_cell_length_b 5.732
_cell_length_c 5.844
_cell_angle_alpha 90.00
_cell_angle_beta 90.00
_cell_angle_gamma 90.00
loop_
_atom_site_label
_atom_site_fract_x
_atom_site_fract_y
_atom_site_fract_z
K1 0.000 0.000 0.000
Pb1 0.500 0.500 0.500
Se1 0.000 0.000 0.500
Br1 0.000 0.500 0.000
# E_form (uncorrected) in eV/atom: -0.150
# Offset from the most stable computed form in eV/atom: 0.646

---

# Pm2Sm5Sn5 (PBE, optimized geometry)
data_Pm2Sm5Sn5
_space_group_name_H-M_alt 'C 1 2/m 1'
_space_group_IT_number 12
_space_group_name_Hall '-C 2y'
_cell_length_a 14.779
_cell_length_b 4.442
_cell_length_c 12.955
_cell_angle_alpha 90.00
_cell_angle_beta 107.94
_cell_angle_gamma 90.00
loop_
_atom_site_label
_atom_site_fract_x
_atom_site_fract_y
_atom_site_fract_z
Pm1 0.050 0.000 0.283
Sm1 0.000 0.500 0.000
Sm2 0.158 0.500 0.541
Sm3 0.229 0.500 0.848
Sn1 0.000 0.000 0.500
Sn2 0.117 0.000 0.929
Sn3 0.204 0.500 0.299
# Calculated formation energy in meV/atom: -536

---

# BeAlCl4 (PBE, optimized geometry)
data_BeAlCl4
_space_group_name_H-M_alt 'F -4 3 m'
_space_group_IT_number 216
_space_group_name_Hall 'F -4 2 3'
_cell_length_a 8.466
_cell_length_b 8.466
_cell_length_c 8.466
_cell_angle_alpha 90.00
_cell_angle_beta 90.00
_cell_angle_gamma 90.00
loop_
_atom_site_label
_atom_site_fract_x
_atom_site_fract_y
_atom_site_fract_z
Be1 0.000 0.000 0.000
Al1 0.250 0.250 0.250
Cl1 0.125 0.125 0.625
# E_form (uncorrected) in eV/atom: 0.799

---

# LaSbW2 (PBE, optimized geometry)
data_LaSbW2
_space_group_name_H-M_alt 'C m m 2'
_space_group_IT_number 35
_space_group_name_Hall 'C 2 -2'
_cell_length_a 3.457
_cell_length_b 5.093
_cell_length_c 9.803
_cell_angle_alpha 90.00
_cell_angle_beta 90.00
_cell_angle_gamma 90.00
loop_
_atom_site_label
_atom_site_fract_x
_atom_site_fract_y
_atom_site_fract_z
La1 0.000 0.000 0.000
Sb1 0.000 0.500 0.304
W1 0.000 0.000 0.539
W2 0.000 0.500 0.734
# E_form (uncorrected) in eV/atom: 0.428

---

# Pr3Mg4Rh4 (PBE, optimized geometry)
data_Pr3Mg4Rh4
_space_group_name_H-M_alt 'I m m m'
_space_group_IT_number 71
_space_group_name_Hall '-I 2 2'
_cell_length_a 4.042
_cell_length_b 7.989
_cell_length_c 14.688
_cell_angle_alpha 90.00
_cell_angle_beta 90.00
_cell_angle_gamma 90.00
loop_
_atom_site_label
_atom_site_fract_x
_atom_site_fract_y
_atom_site_fract_z
Pr1 0.000 0.000 0.000
Pr2 0.000 0.500 0.116
Mg1 0.000 0.310 0.326
Rh1 0.000 0.000 0.233
Rh2 0.000 0.195 0.500
# Calculated formation energy in meV/atom: -516

---

# ScFe2Te (PBE, optimized geometry)
data_ScFe2Te
_space_group_name_H-M_alt 'P m m m'
_space_group_IT_number 47
_space_group_name_Hall '-P 2 2'
_cell_length_a 3.340
_cell_length_b 4.173
_cell_length_c 5.271
_cell_angle_alpha 90.00
_cell_angle_beta 90.00
_cell_angle_gamma 90.00
loop_
_atom_site_label
_atom_site_fract_x
_atom_site_fract_y
_atom_site_fract_z
Sc1 0.000 0.000 0.000
Fe1 0.500 0.500 0.215
Te1 0.500 0.000 0.500
# E_form (uncorrected) in eV/atom: 0.010

---

# YGaPt3 (PBE, optimized geometry)
data_YGaPt3
_space_group_name_H-M_alt 'P m -3 m'
_space_group_IT_number 221
_space_group_name_Hall '-P 4 2 3'
_cell_length_a 5.187
_cell_length_b 5.187
_cell_length_c 5.187
_cell_angle_alpha 90.00
_cell_angle_beta 90.00
_cell_angle_gamma 90.00
loop_
_atom_site_label
_atom_site_fract_x
_atom_site_fract_y
_atom_site_fract_z
Y1 0.000 0.000 0.000
Ga1 0.500 0.500 0.500
Pt1 0.000 0.000 0.500
# Calculated formation energy in meV/atom: 795
# Offset from the most stable computed form in eV/atom: 1.675

---

# ScNbIr2 (PBE, optimized geometry)
data_ScNbIr2
_space_group_name_H-M_alt 'I -4 2 d'
_space_group_IT_number 122
_space_group_name_Hall 'I -4 2bw'
_cell_length_a 7.168
_cell_length_b 7.168
_cell_length_c 5.704
_cell_angle_alpha 90.00
_cell_angle_beta 90.00
_cell_angle_gamma 90.00
loop_
_atom_site_label
_atom_site_fract_x
_atom_site_fract_y
_atom_site_fract_z
Sc1 0.000 0.000 0.000
Nb1 0.000 0.000 0.500
Ir1 0.230 0.250 0.625
# Calculated formation energy in meV/atom: -160

---

no.,total energy (eV per cell),M_tot (Bohr magnetons per cell)
1,-12.387,1.0
2,-119.079,1.9
3,-40.237,12.2
4,-66.491,0.0
5,-111.604,0.0
6,-26.360,4.0
7,-23.639,0.0
8,-139.049,0.0